The following is a PBE calculation of HoB2Rh4 after structural relaxation, from the Alexandria database.

a = 4.211 Å, b = 5.471 Å, c = 8.479 Å
α = 90.00°, β = 90.00°, γ = 90.00°
Space group Immm (No. 71)
Symmetry-distinct sites (fractional):
Ho 0.000 0.000 0.000 x2
B 0.212 0.500 0.000 x4
Rh 0.000 0.243 0.340 x8

## Properties
excess energy over the best structure of this formula in the dataset = 412 meV/atom
energy of formation from the pure elements = -1.35 eV per formula unit
theoretical density = 10.170 g/cm³
E = -6.96 eV/atom

The following is a PBE calculation of Ho3B2Rh5 after structural relaxation, from the Alexandria database.

a = 9.801 Å, b = 9.801 Å, c = 3.249 Å
α = 90.00°, β = 90.00°, γ = 90.00°
Space group P4/mbm (No. 127)
Symmetry-distinct sites (fractional):
Ho 0.000 0.000 0.000 x2
Ho 0.174 0.326 0.000 x4
B 0.121 0.621 0.000 x4
Rh 0.000 0.500 0.500 x2
Rh 0.072 0.770 0.500 x8

## Properties
energy of formation from the pure elements = -8.14 eV per formula unit
theoretical density = 10.968 g/cm³
E = -7.20 eV/atom

The following is a PBE calculation of HoB2Rh4 after structural relaxation, from the Alexandria database.

a = 5.055 Å, b = 9.865 Å, c = 8.002 Å
α = 90.00°, β = 108.29°, γ = 90.00°
Space group C2/c (No. 15)
Symmetry-distinct sites (fractional):
Ho 0.000 0.125 0.250 x4
B 0.000 0.275 0.750 x4
B 0.000 0.475 0.750 x4
Rh 0.122 0.375 0.993 x8
Rh 0.194 0.125 0.640 x8

## Properties
excess energy over the best structure of this formula in the dataset = 0 meV/atom
energy of formation from the pure elements = -4.23 eV per formula unit
theoretical density = 10.488 g/cm³
E = -7.37 eV/atom

The following is a PBE calculation of HoB5Rh7 after structural relaxation, from the Alexandria database.

a = 4.924 Å, b = 8.295 Å, c = 7.710 Å
α = 90.00°, β = 90.00°, γ = 90.00°
Space group Imm2 (No. 44)
Symmetry-distinct sites (fractional):
Ho 0.000 0.000 0.000 x2
B 0.000 0.500 0.705 x2
B 0.183 0.259 0.250 x8
Rh 0.000 0.000 0.332 x2
Rh 0.000 0.000 0.668 x2
Rh 0.000 0.295 0.547 x4
Rh 0.000 0.333 0.912 x4
Rh 0.000 0.500 0.247 x2

## Properties
energy of formation from the pure elements = -2.84 eV per formula unit
theoretical density = 9.907 g/cm³
E = -7.10 eV/atom

The following is a PBE calculation of Ho3B7Rh after structural relaxation, from the Alexandria database.

a = 3.486 Å, b = 15.691 Å, c = 9.344 Å
α = 90.00°, β = 90.00°, γ = 90.00°
Space group Cmcm (No. 63)
Symmetry-distinct sites (fractional):
Ho 0.000 0.107 0.060 x8
Ho 0.000 0.246 0.750 x4
B 0.000 0.273 0.033 x8
B 0.000 0.367 0.151 x8
B 0.000 0.456 0.750 x4
B 0.000 0.480 0.096 x8
Rh 0.000 0.053 0.750 x4

## Properties
energy of formation from the pure elements = -6.80 eV per formula unit
theoretical density = 8.751 g/cm³
E = -6.78 eV/atom

The following is a PBE calculation of Ho2BRh4 after structural relaxation, from the Alexandria database.

a = 4.185 Å, b = 4.185 Å, c = 13.816 Å
α = 90.00°, β = 90.00°, γ = 90.00°
Space group I4/mmm (No. 139)
Symmetry-distinct sites (fractional):
Ho 0.000 0.000 0.150 x4
B 0.000 0.000 0.500 x2
Rh 0.000 0.000 0.351 x4
Rh 0.000 0.500 0.000 x4

## Properties
energy of formation from the pure elements = -4.55 eV per formula unit
theoretical density = 10.326 g/cm³
E = -7.11 eV/atom

The following is a PBE calculation of HoB4Rh6 after structural relaxation, from the Alexandria database.

a = 5.689 Å, b = 5.689 Å, c = 8.247 Å
α = 90.00°, β = 90.00°, γ = 90.00°
Space group I-42m (No. 121)
Symmetry-distinct sites (fractional):
Ho 0.000 0.000 0.000 x2
B 0.150 0.150 0.428 x8
Rh 0.000 0.500 0.000 x4
Rh 0.183 0.183 0.712 x8

## Properties
energy of formation from the pure elements = -4.19 eV per formula unit
theoretical density = 10.274 g/cm³
E = -7.23 eV/atom

The following is a PBE calculation of HoBRh after structural relaxation, from the Alexandria database.

a = 3.640 Å, b = 4.333 Å, c = 6.129 Å
α = 90.00°, β = 90.00°, γ = 90.00°
Space group Pmmn (No. 59, origin choice 2)
Symmetry-distinct sites (fractional):
Ho 0.250 0.250 0.180 x2
B 0.250 0.750 0.505 x2
Rh 0.250 0.250 0.672 x2

## Properties
excess energy over the best structure of this formula in the dataset = 109 meV/atom
energy of formation from the pure elements = -1.44 eV per formula unit
theoretical density = 9.573 g/cm³
E = -6.68 eV/atom

The following is a PBE calculation of HoB6Rh12 after structural relaxation, from the Alexandria database.

a = 10.2413 Å, b = 10.2413 Å, c = 8.0038 Å
α = 90.00°, β = 90.00°, γ = 120.00°
Space group R-3m (No. 166, hexagonal axes)
Symmetry-distinct sites (fractional):
Ho 0.0000 0.0000 0.0000 x3
B 0.0418 0.5209 0.2860 x18
Rh 0.0000 0.3669 0.5000 x18
Rh 0.0877 0.1754 0.3605 x18

## Properties
energy of formation from the pure elements = -6.85 eV per formula unit
theoretical density = 10.036 g/cm³
E = -7.35 eV/atom

The following is a PBE calculation of HoB4Rh12 after structural relaxation, from the Alexandria database.

a = 7.764 Å, b = 7.764 Å, c = 7.764 Å
α = 90.00°, β = 90.00°, γ = 90.00°
Space group Im-3 (No. 204)
Symmetry-distinct sites (fractional):
Ho 0.000 0.000 0.000 x2
B 0.250 0.250 0.250 x8
Rh 0.000 0.320 0.172 x24

## Properties
energy of formation from the pure elements = -2.51 eV per formula unit
theoretical density = 10.240 g/cm³
E = -7.18 eV/atom

The following is a PBE calculation of HoB4Rh4 after structural relaxation, from the Alexandria database.

a = 5.331 Å, b = 5.331 Å, c = 7.458 Å
α = 90.00°, β = 90.00°, γ = 90.00°
Space group P4_2/nmc (No. 137, origin choice 2)
Symmetry-distinct sites (fractional):
Ho 0.250 0.750 0.250 x2
B 0.081 0.250 0.101 x8
Rh 0.001 0.750 0.604 x8

## Properties
energy of formation from the pure elements = -5.28 eV per formula unit
theoretical density = 9.709 g/cm³
E = -7.33 eV/atom

The following is a PBE calculation of HoB2Rh5 after structural relaxation, from the Alexandria database.

a = 3.862 Å, b = 5.804 Å, c = 9.854 Å
α = 90.00°, β = 90.00°, γ = 90.00°
Space group Immm (No. 71)
Symmetry-distinct sites (fractional):
Ho 0.000 0.000 0.000 x2
B 0.000 0.500 0.212 x4
Rh 0.000 0.226 0.349 x8
Rh 0.000 0.500 0.000 x2

## Properties
energy of formation from the pure elements = -3.81 eV per formula unit
theoretical density = 10.542 g/cm³
E = -7.31 eV/atom

The following is a PBE calculation of HoBRuRh2 after structural relaxation, from the Alexandria database.

a = 4.183 Å, b = 4.183 Å, c = 4.220 Å
α = 90.00°, β = 90.00°, γ = 90.00°
Space group P4/mmm (No. 123)
Symmetry-distinct sites (fractional):
Ho 0.000 0.000 0.000 x1
B 0.500 0.500 0.500 x1
Ru 0.500 0.500 0.000 x1
Rh 0.000 0.500 0.500 x2

## Properties
energy of formation from the pure elements = -3.18 eV per formula unit
theoretical density = 10.856 g/cm³
E = -7.68 eV/atom

The following is a PBE calculation of Ho2SiB2Rh5 after structural relaxation, from the Alexandria database.

a = 9.347 Å, b = 9.347 Å, c = 3.214 Å
α = 90.00°, β = 90.00°, γ = 90.00°
Space group P4/mbm (No. 127)
Symmetry-distinct sites (fractional):
Ho 0.176 0.324 0.000 x4
Si 0.000 0.000 0.000 x2
B 0.123 0.623 0.000 x4
Rh 0.000 0.500 0.500 x2
Rh 0.069 0.785 0.500 x8

## Properties
ΔE_f (raw) = -82.13 kJ/mol of atoms
theoretical density = 10.575 g/cm³
E = -7.32 eV/atom

The following is a PBE calculation of Ho2SiBRh6 after structural relaxation, from the Alexandria database.

a = 8.650 Å, b = 8.650 Å, c = 8.650 Å
α = 90.00°, β = 90.00°, γ = 90.00°
Space group Fm-3m (No. 225)
Symmetry-distinct sites (fractional):
Ho 0.250 0.250 0.250 x8
Si 0.000 0.000 0.000 x4
B 0.000 0.000 0.500 x4
Rh 0.000 0.000 0.261 x24

## Properties
ΔE_f (raw) = -73.98 kJ/mol of atoms
theoretical density = 10.120 g/cm³
E = -7.30 eV/atom

The following is a PBE calculation of Ho2SnB2Rh5 after structural relaxation, from the Alexandria database.

a = 9.558 Å, b = 9.558 Å, c = 3.277 Å
α = 90.00°, β = 90.00°, γ = 90.00°
Space group P4/mbm (No. 127)
Symmetry-distinct sites (fractional):
Ho 0.175 0.325 0.000 x4
Sn 0.000 0.000 0.000 x2
B 0.121 0.621 0.000 x4
Rh 0.000 0.500 0.500 x2
Rh 0.071 0.775 0.500 x8

## Properties
energy of formation from the pure elements = -8.38 eV per formula unit
theoretical density = 10.925 g/cm³
E = -7.16 eV/atom

The following is a PBE calculation of Ho2Sn2BRh4 after structural relaxation, from the Alexandria database.

a = 6.134 Å, b = 6.134 Å, c = 8.546 Å
α = 90.00°, β = 90.00°, γ = 90.00°
Space group I4/mmm (No. 139)
Symmetry-distinct sites (fractional):
Ho 0.000 0.000 0.207 x4
Sn 0.000 0.500 0.250 x4
B 0.000 0.000 0.500 x2
Rh 0.239 0.239 0.500 x8

## Properties
energy of formation from the pure elements = -4.68 eV per formula unit
theoretical density = 10.224 g/cm³
E = -6.44 eV/atom

The following is a PBE calculation of Ho3SnB2Rh9 after structural relaxation, from the Alexandria database.

a = 5.8411 Å, b = 5.8411 Å, c = 8.8540 Å
α = 90.00°, β = 90.00°, γ = 120.00°
Space group P-3m1 (No. 164)
Symmetry-distinct sites (fractional):
Ho 0.0000 0.0000 0.0000 x1
Ho 0.3333 0.6667 0.6983 x2
Sn 0.0000 0.0000 0.5000 x1
B 0.3333 0.6667 0.1452 x2
Rh 0.0000 0.5000 0.0000 x3
Rh 0.1620 0.3239 0.2660 x6

## Properties
energy of formation from the pure elements = -8.99 eV per formula unit
theoretical density = 9.910 g/cm³
E = -7.08 eV/atom

The following is a PBE calculation of Tb2HoB2Rh5 after structural relaxation, from the Alexandria database.

a = 9.837 Å, b = 9.837 Å, c = 3.263 Å
α = 90.00°, β = 90.00°, γ = 90.00°
Space group P4/mbm (No. 127)
Symmetry-distinct sites (fractional):
Tb 0.174 0.326 0.000 x4
Ho 0.000 0.000 0.000 x2
B 0.121 0.621 0.000 x4
Rh 0.000 0.500 0.500 x2
Rh 0.072 0.769 0.500 x8

## Properties
energy of formation from the pure elements = -7.91 eV per formula unit
theoretical density = 10.719 g/cm³
E = -7.19 eV/atom